# 1
# Sm3PaTl PBE-GGA relaxed
data_Sm3PaTl
_space_group_name_H-M_alt 'P 1'
_space_group_IT_number 1
_cell_length_a 5.814
_cell_length_b 5.814
_cell_length_c 5.814
_cell_angle_alpha 90.00
_cell_angle_beta 90.00
_cell_angle_gamma 90.00
loop_
_space_group_symop_operation_xyz
'x,y,z'
loop_
_atom_site_label
_atom_site_type_symbol
_atom_site_fract_x
_atom_site_fract_y
_atom_site_fract_z
Tl1 Tl 0.500 0.500 0.500
Sm1 Sm 0.000 0.500 0.500
Sm2 Sm 0.500 0.500 0.000
Pa1 Pa 0.000 0.000 0.000
Sm3 Sm 0.500 0.000 0.500
# Total energy in eV/atom: -4.402

# 2
# ScPaAs PBE-GGA relaxed
data_ScPaAs
_space_group_name_H-M_alt 'P 1'
_space_group_IT_number 1
_cell_length_a 4.572
_cell_length_b 4.572
_cell_length_c 4.572
_cell_angle_alpha 60.00
_cell_angle_beta 60.00
_cell_angle_gamma 60.00
loop_
_space_group_symop_operation_xyz
'x,y,z'
loop_
_atom_site_label
_atom_site_type_symbol
_atom_site_fract_x
_atom_site_fract_y
_atom_site_fract_z
Sc1 Sc 0.000 0.000 0.000
As1 As 0.250 0.250 0.250
Pa1 Pa 0.750 0.750 0.750
# Total energy in eV/atom: -6.619

# 3
# TaCl PBE-GGA relaxed
data_TaCl
_space_group_name_H-M_alt 'P 1'
_space_group_IT_number 1
_cell_length_a 3.613
_cell_length_b 3.613
_cell_length_c 3.613
_cell_angle_alpha 60.00
_cell_angle_beta 60.00
_cell_angle_gamma 60.00
loop_
_space_group_symop_operation_xyz
'x,y,z'
loop_
_atom_site_label
_atom_site_type_symbol
_atom_site_fract_x
_atom_site_fract_y
_atom_site_fract_z
Ta1 Ta 0.500 0.500 0.500
Cl1 Cl 0.000 0.000 0.000
# Total energy in eV/atom: -5.564

# 4
# BeW PBE-GGA relaxed
data_BeW
_space_group_name_H-M_alt 'P 1'
_space_group_IT_number 1
_cell_length_a 3.560
_cell_length_b 3.560
_cell_length_c 3.560
_cell_angle_alpha 60.00
_cell_angle_beta 60.00
_cell_angle_gamma 60.00
loop_
_space_group_symop_operation_xyz
'x,y,z'
loop_
_atom_site_label
_atom_site_type_symbol
_atom_site_fract_x
_atom_site_fract_y
_atom_site_fract_z
W1 W 0.250 0.250 0.250
Be1 Be 0.000 0.000 0.000
# Total energy in eV/atom: -6.268

# 5
# Er2Al8Pd PBE-GGA relaxed
data_Er2Al8Pd
_space_group_name_H-M_alt 'P 1'
_space_group_IT_number 1
_cell_length_a 4.277
_cell_length_b 4.277
_cell_length_c 11.109
_cell_angle_alpha 90.00
_cell_angle_beta 90.00
_cell_angle_gamma 90.00
loop_
_space_group_symop_operation_xyz
'x,y,z'
loop_
_atom_site_label
_atom_site_type_symbol
_atom_site_fract_x
_atom_site_fract_y
_atom_site_fract_z
Er1 Er 0.000 0.000 0.687
Al1 Al 0.500 0.500 0.694
Al2 Al 0.000 0.500 0.874
Al3 Al 0.500 0.500 0.306
Al4 Al 0.000 0.500 0.500
Pd1 Pd 0.000 0.000 0.000
Er2 Er 0.000 0.000 0.313
Al5 Al 0.000 0.500 0.126
Al6 Al 0.500 0.000 0.126
Al7 Al 0.500 0.000 0.500
Al8 Al 0.500 0.000 0.874
# Total energy in eV/atom: -4.508

# 6
# DyMgPO PBE-GGA relaxed
data_DyMgPO
_space_group_name_H-M_alt 'P 1'
_space_group_IT_number 1
_cell_length_a 4.305
_cell_length_b 6.109
_cell_length_c 5.744
_cell_angle_alpha 90.00
_cell_angle_beta 90.00
_cell_angle_gamma 90.00
loop_
_space_group_symop_operation_xyz
'x,y,z'
loop_
_atom_site_label
_atom_site_type_symbol
_atom_site_fract_x
_atom_site_fract_y
_atom_site_fract_z
O1 O 0.500 0.673 0.883
Dy1 Dy 0.000 0.223 0.422
P1 P 0.000 0.770 0.411
O2 O 0.500 0.327 0.383
P2 P 0.000 0.230 0.911
Dy2 Dy 0.000 0.777 0.922
Mg1 Mg 0.500 0.380 0.038
Mg2 Mg 0.500 0.620 0.538
# Total energy in eV/atom: -6.102

# 7
# RbFeCuOs PBE-GGA relaxed
data_RbFeCuOs
_space_group_name_H-M_alt 'P 1'
_space_group_IT_number 1
_cell_length_a 4.652
_cell_length_b 4.652
_cell_length_c 4.652
_cell_angle_alpha 60.00
_cell_angle_beta 60.00
_cell_angle_gamma 60.00
loop_
_space_group_symop_operation_xyz
'x,y,z'
loop_
_atom_site_label
_atom_site_type_symbol
_atom_site_fract_x
_atom_site_fract_y
_atom_site_fract_z
Os1 Os 0.000 0.000 0.000
Cu1 Cu 0.750 0.750 0.750
Fe1 Fe 0.250 0.250 0.250
Rb1 Rb 0.500 0.500 0.500
# Total energy in eV/atom: -4.491

# 8
# LiSc2AlPd4 PBE-GGA relaxed
data_LiSc2AlPd4
_space_group_name_H-M_alt 'P 1'
_space_group_IT_number 1
_cell_length_a 4.513
_cell_length_b 4.513
_cell_length_c 6.368
_cell_angle_alpha 90.00
_cell_angle_beta 90.00
_cell_angle_gamma 90.00
loop_
_space_group_symop_operation_xyz
'x,y,z'
loop_
_atom_site_label
_atom_site_type_symbol
_atom_site_fract_x
_atom_site_fract_y
_atom_site_fract_z
Pd1 Pd 0.500 0.000 0.254
Li1 Li 0.500 0.500 0.000
Sc1 Sc 0.500 0.500 0.500
Sc2 Sc 0.000 0.000 0.000
Al1 Al 0.000 0.000 0.500
Pd2 Pd 0.500 0.000 0.746
Pd3 Pd 0.000 0.500 0.746
Pd4 Pd 0.000 0.500 0.254
# Total energy in eV/atom: -5.715

# 9
# SbOsNO PBE-GGA relaxed
data_SbOsNO
_space_group_name_H-M_alt 'P 1'
_space_group_IT_number 1
_cell_length_a 3.841
_cell_length_b 3.841
_cell_length_c 7.493
_cell_angle_alpha 90.00
_cell_angle_beta 90.00
_cell_angle_gamma 90.00
loop_
_space_group_symop_operation_xyz
'x,y,z'
loop_
_atom_site_label
_atom_site_type_symbol
_atom_site_fract_x
_atom_site_fract_y
_atom_site_fract_z
O1 O 0.500 0.500 0.000
Sb1 Sb 0.500 0.000 0.160
Sb2 Sb 0.000 0.500 0.840
N1 N 0.500 0.000 0.616
O2 O 0.000 0.000 0.000
N2 N 0.000 0.500 0.384
Os1 Os 0.000 0.000 0.500
Os2 Os 0.500 0.500 0.500
# Total energy in eV/atom: -7.022

# 10
# ZrScCu PBE-GGA relaxed
data_ZrScCu
_space_group_name_H-M_alt 'P 1'
_space_group_IT_number 1
_cell_length_a 4.489
_cell_length_b 4.489
_cell_length_c 4.489
_cell_angle_alpha 60.00
_cell_angle_beta 60.00
_cell_angle_gamma 60.00
loop_
_space_group_symop_operation_xyz
'x,y,z'
loop_
_atom_site_label
_atom_site_type_symbol
_atom_site_fract_x
_atom_site_fract_y
_atom_site_fract_z
Sc1 Sc 0.250 0.250 0.250
Cu1 Cu 0.000 0.000 0.000
Zr1 Zr 0.750 0.750 0.750
# DFT formation energy in eV/atom: 0.19
# Total energy in eV/atom: -6.003

# 11
# CdCo PBE-GGA relaxed
data_CdCo
_space_group_name_H-M_alt 'P 1'
_space_group_IT_number 1
_cell_length_a 2.835
_cell_length_b 2.835
_cell_length_c 4.496
_cell_angle_alpha 90.00
_cell_angle_beta 90.00
_cell_angle_gamma 120.00
loop_
_space_group_symop_operation_xyz
'x,y,z'
loop_
_atom_site_label
_atom_site_type_symbol
_atom_site_fract_x
_atom_site_fract_y
_atom_site_fract_z
Co1 Co 0.333 0.667 0.250
Cd1 Cd 0.667 0.333 0.750
# DFT formation energy in eV/atom: 0.42
# Total energy in eV/atom: -3.576

# 12
# Ba2CoCl6 PBE-GGA relaxed
data_Ba2CoCl6
_space_group_name_H-M_alt 'P 1'
_space_group_IT_number 1
_cell_length_a 9.179
_cell_length_b 8.127
_cell_length_c 12.817
_cell_angle_alpha 90.00
_cell_angle_beta 89.73
_cell_angle_gamma 90.00
loop_
_space_group_symop_operation_xyz
'x,y,z'
loop_
_atom_site_label
_atom_site_type_symbol
_atom_site_fract_x
_atom_site_fract_y
_atom_site_fract_z
Cl1 Cl 0.449 0.643 0.577
Cl2 Cl 0.304 0.918 0.798
Co1 Co 0.372 0.354 0.567
Cl3 Cl 0.821 0.573 0.570
Cl4 Cl 0.058 0.232 0.196
Cl5 Cl 0.442 0.732 0.304
Cl6 Cl 0.826 0.424 0.039
Ba1 Ba 0.861 0.391 0.794
Cl7 Cl 0.942 0.768 0.804
Ba2 Ba 0.361 0.109 0.294
Cl8 Cl 0.196 0.418 0.702
Ba3 Ba 0.377 0.278 0.905
Ba4 Ba 0.877 0.222 0.405
Cl9 Cl 0.804 0.582 0.298
Cl10 Cl 0.674 0.924 0.461
Cl11 Cl 0.579 0.600 0.867
Ba5 Ba 0.623 0.722 0.095
Cl12 Cl 0.051 0.143 0.923
Co2 Co 0.872 0.146 0.067
Cl13 Cl 0.174 0.576 0.961
Co3 Co 0.628 0.646 0.433
Cl14 Cl 0.949 0.857 0.077
Cl15 Cl 0.551 0.357 0.423
Ba6 Ba 0.123 0.778 0.595
Cl16 Cl 0.326 0.076 0.539
Cl17 Cl 0.558 0.268 0.696
Ba7 Ba 0.139 0.609 0.206
Cl18 Cl 0.696 0.082 0.202
Cl19 Cl 0.079 0.900 0.367
Cl20 Cl 0.421 0.400 0.133
Cl21 Cl 0.321 0.927 0.070
Cl22 Cl 0.679 0.073 0.930
Cl23 Cl 0.921 0.100 0.633
Co4 Co 0.128 0.854 0.933
Cl24 Cl 0.179 0.427 0.430
Ba8 Ba 0.639 0.891 0.706
# Total energy in eV/atom: -4.292